! CaCo3C4O12 | Alexandria | GGA+U | relaxed; values from VASP
! Density of states at the Fermi level: 0.00 states/eV/f.u.
! Symmetry: R32
! Volume: 213 Å³/cell
! Uncorrected energy: -7.203 eV per atom
&SYSTEM
  ibrav = 0, nat = 20, ntyp = 4
/
ATOMIC_SPECIES
Ca 40.08 Ca.upf
Co 58.93 Co.upf
C 12.01 C.upf
O 16.00 O.upf
CELL_PARAMETERS angstrom
4.815 2.780 2.648
-4.815 2.780 2.648
0.000 -5.560 2.648
ATOMIC_POSITIONS angstrom
Ca 0.000 0.000 0.000
Co -2.596 -1.063 2.648
Co 2.218 -1.717 2.648
Co 0.378 2.780 2.648
C -2.203 -3.816 3.972
C 0.000 0.000 3.972
C -2.203 3.816 3.972
C 4.407 0.000 3.972
O -2.875 -2.716 3.861
O -3.922 0.000 3.972
O -0.915 -3.848 4.084
O -1.297 0.000 3.972
O -2.875 2.716 4.084
O 1.961 -3.396 3.972
O 0.649 -1.124 3.972
O -0.915 3.848 3.861
O 0.649 1.124 3.972
O 3.790 -1.132 3.861
O 1.961 3.396 3.972
O 3.790 1.132 4.084